1.
First-principles (PBE) data for a relaxed ZrAg3Cl9 crystal, as listed in Alexandria.

```
26
Lattice="6.419 0.000 2.701 2.802 9.454 2.318 -1.723 -0.367 13.072" Properties=species:S:1:pos:R:3 pbc="T T T"
Cl 5.348 7.550 8.227
Cl 2.449 5.236 9.746
Cl 5.692 7.668 11.933
Cl 8.020 9.291 9.620
Cl 0.549 6.385 12.585
Cl 6.205 3.125 4.680
Cl 2.890 4.955 2.510
Cl 2.083 5.256 6.205
Cl 2.969 8.618 3.617
Cl 5.913 3.707 11.184
Cl 4.682 0.346 13.627
Cl 3.019 1.675 9.442
Cl 3.618 0.693 2.770
Cl 0.341 0.045 7.766
Cl 4.508 4.381 14.471
Cl 6.238 6.585 4.468
Cl 2.916 1.841 6.113
Cl 0.954 2.640 12.707
Ag 3.631 6.527 4.816
Ag 4.633 0.354 4.941
Ag 2.476 3.573 7.887
Ag 4.593 1.616 11.549
Ag 6.605 4.898 13.238
Ag 6.007 8.116 16.841
Zr 5.964 4.166 16.570
Zr 5.501 9.076 10.047
```

Electronic total energy (eV per cell): -90.44
D(E_F) (states/eV/f.u.): 2.68
ΔE_f (raw) (meV per atom): -885

2.
First-principles (PBE) data for a relaxed EuHoErSc crystal, as listed in Alexandria.

```
4
Lattice="-3.204 3.241 3.234 -0.717 -1.274 5.393 2.337 3.180 3.956" Properties=species:S:1:pos:R:3 pbc="T T T"
Eu -0.396 1.287 3.146
Er 0.000 0.000 0.000
Sc -1.189 3.860 9.438
Ho -0.792 2.573 6.292
```

Electronic total energy (eV per cell): -25.02
Energy of formation (kJ per mole of atoms): 17.61
D(E_F) (states/eV/f.u.): 7.70

3.
First-principles (PBE) data for a relaxed Be2PtW crystal, as listed in Alexandria.

```
4
Lattice="0.000 2.886 2.886 2.886 0.000 2.886 2.886 2.886 0.000" Properties=species:S:1:pos:R:3 pbc="T T T"
W 0.000 0.000 0.000
Pt 2.886 2.886 2.886
Be 4.329 4.329 4.329
Be 1.443 1.443 1.443
```

Relative energy among the computed polymorphs (kJ/mol of atoms): 23.90
Electronic total energy (eV per cell): -26.62
Energy of formation (kJ per mole of atoms): -4.26
D(E_F) (states/eV/f.u.): 1.19

4.
First-principles (PBE) data for a relaxed PtPb2Br crystal, as listed in Alexandria.

```
4
Lattice="-6.397 -4.202 -1.327 4.833 0.373 -2.952 1.384 -3.028 0.505" Properties=species:S:1:pos:R:3 pbc="T T T"
Br -0.782 -1.914 -2.140
Pt 3.108 -1.327 -1.224
Pb 0.000 0.000 0.000
Pb -2.507 -3.615 -0.411
```

Relative energy among the computed polymorphs (kJ/mol of atoms): 27.41
Electronic total energy (eV per cell): -15.53
D(E_F) (states/eV/f.u.): 2.16
ΔE_f (raw) (meV per atom): -100

5.
First-principles (PBE) data for a relaxed ZnSi2Ni8 crystal, as listed in Alexandria.

```
11
Lattice="3.633 0.000 0.000 0.000 5.727 0.156 -1.816 -2.270 5.850" Properties=species:S:1:pos:R:3 pbc="T T T"
Ni 0.000 0.593 1.868
Ni 1.816 -0.527 5.433
Ni 1.816 2.864 4.138
Ni 0.000 1.219 4.760
Ni 1.816 2.237 1.245
Ni 1.816 4.480 2.227
Ni 0.000 3.984 0.573
Ni 0.000 -1.024 3.778
Si 1.816 0.603 3.397
Si 0.000 2.853 2.608
Zn 1.816 0.000 0.000
```

Relative energy among the computed polymorphs (kJ/mol of atoms): 1.04
Electronic total energy (eV per cell): -61.99
D(E_F) (states/eV/f.u.): 8.61
ΔE_f (raw) (meV per atom): -329

6.
First-principles (PBE) data for a relaxed AgOsS2N crystal, as listed in Alexandria.

```
5
Lattice="-2.286 4.295 -0.110 -3.632 -1.865 2.649 1.817 1.050 3.231" Properties=species:S:1:pos:R:3 pbc="T T T"
S -1.816 -0.933 1.325
S -1.143 2.148 -0.055
Os -2.050 1.740 2.885
N 0.909 0.525 1.615
Ag 0.000 0.000 0.000
```

Relative energy among the computed polymorphs (kJ/mol of atoms): 156.77
Electronic total energy (eV per cell): -19.92
D(E_F) (states/eV/f.u.): 5.36
ΔE_f (raw) (meV per atom): 2148

Q: What is the formula in the first record?
A: ZrAg3Cl9

Repeat the fifth record exactly.
First-principles (PBE) data for a relaxed ZnSi2Ni8 crystal, as listed in Alexandria.

```
11
Lattice="3.633 0.000 0.000 0.000 5.727 0.156 -1.816 -2.270 5.850" Properties=species:S:1:pos:R:3 pbc="T T T"
Ni 0.000 0.593 1.868
Ni 1.816 -0.527 5.433
Ni 1.816 2.864 4.138
Ni 0.000 1.219 4.760
Ni 1.816 2.237 1.245
Ni 1.816 4.480 2.227
Ni 0.000 3.984 0.573
Ni 0.000 -1.024 3.778
Si 1.816 0.603 3.397
Si 0.000 2.853 2.608
Zn 1.816 0.000 0.000
```

Relative energy among the computed polymorphs (kJ/mol of atoms): 1.04
Electronic total energy (eV per cell): -61.99
D(E_F) (states/eV/f.u.): 8.61
ΔE_f (raw) (meV per atom): -329

Q: Which formula does entry 4 have?
A: PtPb2Br